{
  "formula": "RbSr2PuO5",
  "functional": "PBE",
  "state": "optimized geometry",
  "energy_ev_per_cell": -67.24,
  "dos_at_fermi_per_ev_fu": 7.56,
  "total_magnetization_mub_per_atom": 0.33,
  "lattice": [[-2.163, 3.201, 5.901], [2.163, -3.201, 5.901], [2.163, 3.201, -5.901]],
  "species": ["Rb", "Sr", "Sr", "Pu", "O", "O", "O", "O", "O"],
  "frac_coords": [[0.000, 0.000, 0.000], [0.277, 0.777, 0.500], [0.723, 0.223, 0.500], [0.500, 0.500, 0.000], [0.144, 0.364, 0.780], [0.416, 0.636, 0.780], [0.500, 0.000, 0.500], [0.584, 0.364, 0.220], [0.856, 0.636, 0.220]]
}